(1)
Compound: Y2CdGeO6
Source: Alexandria
Functional: GGA-PBE
Structure: optimized geometry

The space group is P4mm (No. 99) and the conventional cell measures 5.2915, 5.2915 and 5.1301 Å, with angles of 90.00, 90.00 and 90.00 degrees. Symmetry generates all atoms from Y at (0.0000, 0.5000, 0.0000), Cd at (0.0000, 0.0000, 0.5472), Ge at (0.5000, 0.5000, 0.6184), O at (0.0000, 0.0000, 0.1367), O at (0.2673, 0.2673, 0.7535) and O at (0.5000, 0.5000, 0.2678).

---

(2)
Compound: ZnCd2Ge2O6
Source: Alexandria
Functional: GGA-PBE
Structure: optimized geometry

The space group is P-3 (No. 147) and the conventional cell measures 5.6135, 5.6135 and 6.1126 Å, with angles of 90.00, 90.00 and 120.00 degrees. Symmetry generates all atoms from Zn at (0.0000, 0.0000, 0.0000), Cd at (0.3333, 0.6667, 0.7740), Ge at (0.3333, 0.6667, 0.2957) and O at (0.0628, 0.3465, 0.1918).

---

We obtain formation energy without anion corrections values of -23.0; -11.9 eV per formula unit for the records listed above, in that order.
We obtain calculated volume values of 143.6; 166.8 Å³ per cell for the records listed above, in that order.